Material: Mg2OF2
Method: DFT, PBE
State: optimized geometry

The value obtained for the formation energy without anion corrections is -2.3325 eV/atom. The calculation puts the total energy at -4.71 eV/atom. As for the density of states at the Fermi level: 0.000 states/eV/atom. Its crystal system is tetragonal. Its offset from the most stable computed form is 495 meV per atom.

It has space group I4/mmm (No. 139), with a = 3.872 Å, b = 3.872 Å, c = 7.135 Å, α = 90.00°, β = 90.00° and γ = 90.00°. The distinct sites, in fractional coordinates, are Mg at (0.000, 0.500, 0.250), O at (0.000, 0.000, 0.000) and F at (0.000, 0.000, 0.338).